A relaxed structure of CoSiF3, computed with PBE with a Hubbard U.

Cell and atoms, written as POSCAR:
```
CoSiF3
1.0
-0.315 0.247 4.197
4.038 -1.152 0.371
1.168 4.048 -0.151
F Co Si
3 1 1
direct
0.500 0.000 0.000 F
0.000 0.500 0.000 F
0.000 0.000 0.500 F
0.500 0.500 0.500 Co
0.000 0.000 0.000 Si
```

Space-group type: Pm-3m (221)
DOS(E_F) in states/eV/f.u.: 12.799
Calculated volume in Å³/f.u.: 75
Polymorph energy (0 for the lowest one) in meV/atom: 91
Spin magnetization in μB/cell: 3.719